Arrangement one

{
  "formula": "TaCuSbTe2",
  "functional": "GGA-PBE",
  "state": "relaxed",
  "lattice_angstrom": [[5.3512, 0.0000, 0.0000], [0.0000, 5.3512, 0.0000], [0.0000, 0.0000, 5.4386]],
  "species": ["Te", "Te", "Ta", "Cu", "Sb"],
  "frac_coords": [[0.5000, 0.0000, 0.0000], [0.0000, 0.5000, 0.0000], [0.0000, 0.0000, 0.0000], [0.5000, 0.5000, 0.5000], [0.0000, 0.0000, 0.5000]]
}



Arrangement two

{
  "formula": "TaCuSbTe2",
  "functional": "GGA-PBE",
  "state": "relaxed",
  "lattice_angstrom": [[-0.6816, -4.8380, -1.2039], [2.2451, -1.3828, 4.2857], [-4.3663, 0.0425, 2.3011]],
  "species": ["Te", "Te", "Cu", "Ta", "Sb"],
  "frac_coords": [[0.0000, 0.5000, 0.0000], [0.5000, 0.0000, 0.0000], [0.0000, 0.0000, 0.0000], [0.5000, 0.5000, 0.5000], [0.0000, 0.0000, 0.5000]]
}



Least stable: arrangement two



Arrangement one

{
  "formula": "TaCuSb2Te",
  "functional": "GGA-PBE",
  "state": "relaxed",
  "lattice_angstrom": [[5.3730, 0.0000, 0.0000], [0.0000, 5.3730, 0.0000], [0.0000, 0.0000, 5.3205]],
  "species": ["Sb", "Sb", "Ta", "Te", "Cu"],
  "frac_coords": [[0.5000, 0.0000, 0.0000], [0.0000, 0.5000, 0.0000], [0.0000, 0.0000, 0.0000], [0.0000, 0.0000, 0.5000], [0.5000, 0.5000, 0.5000]]
}



Arrangement two

{
  "formula": "TaCuSb2Te",
  "functional": "GGA-PBE",
  "state": "relaxed",
  "lattice_angstrom": [[-2.3048, 2.8310, -3.3114], [-2.3466, -3.9631, -1.7548], [-3.7592, 0.7743, 3.2784]],
  "species": ["Sb", "Sb", "Ta", "Cu", "Te"],
  "frac_coords": [[0.5000, 0.0000, 0.0000], [0.0000, 0.5000, 0.0000], [0.5000, 0.5000, 0.5000], [0.0000, 0.0000, 0.0000], [0.0000, 0.0000, 0.5000]]
}



Least stable: arrangement two



Arrangement one

{
  "formula": "CuTcSb3",
  "functional": "GGA-PBE",
  "state": "relaxed",
  "lattice_angstrom": [[-3.1121, -2.2271, -3.2358], [3.8432, -2.5802, -1.9203], [-0.8126, -3.6739, 3.3102]],
  "species": ["Cu", "Sb", "Sb", "Sb", "Tc"],
  "frac_coords": [[0.0000, 0.0000, 0.0000], [0.5000, 0.0000, 0.0000], [0.0000, 0.5000, 0.0000], [0.0000, 0.0000, 0.5000], [0.5000, 0.5000, 0.5000]]
}



Arrangement two

{
  "formula": "CuTcSb3",
  "functional": "GGA-PBE",
  "state": "relaxed",
  "lattice_angstrom": [[-1.7981, -3.3534, -3.4540], [-1.6563, -3.0310, 3.8050], [-4.5202, 2.4445, -0.0203]],
  "species": ["Sb", "Sb", "Sb", "Cu", "Tc"],
  "frac_coords": [[0.0000, 0.0000, 0.5000], [0.5000, 0.0000, 0.0000], [0.0000, 0.5000, 0.0000], [0.5000, 0.5000, 0.5000], [0.0000, 0.0000, 0.0000]]
}



Least stable: arrangement one



Arrangement one

{
  "formula": "CuTcSb2Te",
  "functional": "GGA-PBE",
  "state": "relaxed",
  "lattice_angstrom": [[5.1299, 0.0000, 0.0000], [0.0000, 5.1299, 0.0000], [0.0000, 0.0000, 5.2421]],
  "species": ["Te", "Tc", "Sb", "Sb", "Cu"],
  "frac_coords": [[0.0000, 0.0000, 0.5000], [0.0000, 0.0000, 0.0000], [0.0000, 0.5000, 0.0000], [0.5000, 0.0000, 0.0000], [0.5000, 0.5000, 0.5000]]
}



Arrangement two

{
  "formula": "CuTcSb2Te",
  "functional": "GGA-PBE",
  "state": "relaxed",
  "lattice_angstrom": [[-0.4998, -3.7493, -3.2938], [4.8434, 0.4337, -1.2286], [1.2316, -3.3811, 3.6618]],
  "species": ["Sb", "Sb", "Cu", "Tc", "Te"],
  "frac_coords": [[0.5000, 0.0000, 0.0000], [0.0000, 0.5000, 0.0000], [0.0000, 0.0000, 0.0000], [0.5000, 0.5000, 0.5000], [0.0000, 0.0000, 0.5000]]
}



Least stable: arrangement two



Arrangement one

{
  "formula": "CuSbTe4",
  "functional": "GGA-PBE",
  "state": "relaxed",
  "lattice_angstrom": [[0.0000, 4.4448, 4.4448], [4.4448, 0.0000, 4.4448], [4.4448, 4.4448, 0.0000]],
  "species": ["Te", "Te", "Te", "Te", "Cu", "Sb"],
  "frac_coords": [[0.8752, 0.3749, 0.3749], [0.3749, 0.3749, 0.8752], [0.3749, 0.3749, 0.3749], [0.3749, 0.8752, 0.3749], [0.7500, 0.7500, 0.7500], [0.0000, 0.0000, 0.0000]]
}



Arrangement two

{
  "formula": "CuSbTe4",
  "functional": "GGA-PBE",
  "state": "relaxed",
  "lattice_angstrom": [[5.7845, 0.5617, 0.0000], [0.5794, 7.7935, 0.0000], [0.0000, 0.0000, 8.4148]],
  "species": ["Te", "Te", "Te", "Te", "Te", "Te", "Te", "Te", "Sb", "Sb", "Cu", "Cu"],
  "frac_coords": [[0.2871, 0.4817, 0.0836], [0.2871, 0.9817, 0.9164], [0.7129, 0.5183, 0.9164], [0.1768, 0.4624, 0.6183], [0.8232, 0.5376, 0.3817], [0.1768, 0.9624, 0.3817], [0.7129, 0.0183, 0.0836], [0.8232, 0.0376, 0.6183], [0.5000, 0.7500, 0.6469], [0.5000, 0.2500, 0.3531], [0.0000, 0.7500, 0.1897], [0.0000, 0.2500, 0.8103]]
}



Least stable: arrangement one



Arrangement one

{
  "formula": "Cu2Sb2Te",
  "functional": "GGA-PBE",
  "state": "relaxed",
  "lattice_angstrom": [[7.4348, 0.0000, 0.0000], [0.0000, 7.4348, 0.0000], [0.0000, 0.0000, 3.8919]],
  "species": ["Sb", "Sb", "Sb", "Sb", "Te", "Te", "Cu", "Cu", "Cu", "Cu"],
  "frac_coords": [[0.3510, 0.1490, 0.5000], [0.8510, 0.3510, 0.5000], [0.6490, 0.8510, 0.5000], [0.1490, 0.6490, 0.5000], [0.5000, 0.5000, 0.0000], [0.0000, 0.0000, 0.0000], [0.6232, 0.1232, 0.0000], [0.1232, 0.3768, 0.0000], [0.3768, 0.8768, 0.0000], [0.8768, 0.6232, 0.0000]]
}



Arrangement two

{
  "formula": "Cu2Sb2Te",
  "functional": "GGA-PBE",
  "state": "relaxed",
  "lattice_angstrom": [[8.3442, 0.0000, 0.0000], [0.0000, 8.3442, 0.0000], [0.0000, 0.0000, 3.1849]],
  "species": ["Sb", "Sb", "Sb", "Sb", "Cu", "Cu", "Cu", "Cu", "Te", "Te"],
  "frac_coords": [[0.3154, 0.8154, 0.0000], [0.8154, 0.6846, 0.0000], [0.1846, 0.3154, 0.0000], [0.6846, 0.1846, 0.0000], [0.6069, 0.8931, 0.5000], [0.8931, 0.3931, 0.5000], [0.1069, 0.6069, 0.5000], [0.3931, 0.1069, 0.5000], [0.0000, 0.0000, 0.0000], [0.5000, 0.5000, 0.0000]]
}



Least stable: arrangement two



Arrangement one

{
  "formula": "CuSbTe3",
  "functional": "GGA-PBE",
  "state": "relaxed",
  "lattice_angstrom": [[-1.0792, -1.5863, -4.7497], [4.8807, -1.4201, -0.6347], [-1.1202, -4.6592, 1.8105]],
  "species": ["Te", "Te", "Te", "Sb", "Cu"],
  "frac_coords": [[0.5000, 0.0000, 0.0000], [0.0000, 0.5000, 0.0000], [0.0000, 0.0000, 0.5000], [0.5000, 0.5000, 0.5000], [0.0000, 0.0000, 0.0000]]
}



Arrangement two

{
  "formula": "CuSbTe3",
  "functional": "GGA-PBE",
  "state": "relaxed",
  "lattice_angstrom": [[-0.8621, -3.8804, -0.7517], [4.3635, 0.2647, -6.3713], [7.3679, -2.6700, 5.3329]],
  "species": ["Te", "Te", "Te", "Te", "Te", "Te", "Sb", "Sb", "Cu", "Cu"],
  "frac_coords": [[0.7500, 0.6365, 0.4070], [0.2500, 0.7332, 0.0075], [0.7500, 0.0336, 0.3130], [0.2500, 0.3635, 0.5930], [0.2500, 0.9664, 0.6870], [0.7500, 0.2668, 0.9925], [0.2500, 0.4283, 0.1854], [0.7500, 0.5717, 0.8146], [0.7500, 0.1433, 0.5907], [0.2500, 0.8567, 0.4093]]
}



Least stable: arrangement one



Arrangement one

{
  "formula": "TiCuSb2Te",
  "functional": "GGA-PBE",
  "state": "relaxed",
  "lattice_angstrom": [[4.9969, 0.0000, 0.0000], [0.0000, 4.9969, 0.0000], [0.0000, 0.0000, 5.2759]],
  "species": ["Ti", "Cu", "Sb", "Sb", "Te"],
  "frac_coords": [[0.5000, 0.5000, 0.5000], [0.0000, 0.0000, 0.0000], [0.0000, 0.5000, 0.0000], [0.5000, 0.0000, 0.0000], [0.0000, 0.0000, 0.5000]]
}



Arrangement two

{
  "formula": "TiCuSb2Te",
  "functional": "GGA-PBE",
  "state": "relaxed",
  "lattice_angstrom": [[5.2513, 0.0000, 0.0000], [0.0000, 5.2513, 0.0000], [0.0000, 0.0000, 5.2328]],
  "species": ["Sb", "Sb", "Ti", "Cu", "Te"],
  "frac_coords": [[0.0000, 0.5000, 0.0000], [0.5000, 0.0000, 0.0000], [0.0000, 0.0000, 0.0000], [0.5000, 0.5000, 0.5000], [0.0000, 0.0000, 0.5000]]
}



Least stable: arrangement one



Arrangement one

{
  "formula": "TlCuSbTe2",
  "functional": "GGA-PBE",
  "state": "relaxed",
  "lattice_angstrom": [[-4.5170, 1.8617, -2.4584], [-3.0726, -2.3463, 3.8687], [0.2381, 4.1537, 2.7082]],
  "species": ["Tl", "Te", "Te", "Cu", "Sb"],
  "frac_coords": [[0.5000, 0.5000, 0.5000], [0.0000, 0.5000, 0.0000], [0.5000, 0.0000, 0.0000], [0.0000, 0.0000, 0.0000], [0.0000, 0.0000, 0.5000]]
}



Arrangement two

{
  "formula": "TlCuSbTe2",
  "functional": "GGA-PBE",
  "state": "relaxed",
  "lattice_angstrom": [[-4.8052, 2.1902, -1.3957], [-2.1185, -6.5719, -3.0196], [-2.9548, -1.7867, 7.3688]],
  "species": ["Sb", "Sb", "Cu", "Cu", "Tl", "Tl", "Te", "Te", "Te", "Te"],
  "frac_coords": [[0.6639, 0.0000, 0.2500], [0.3361, 0.0000, 0.7500], [0.0000, 0.0000, 0.0000], [0.0000, 0.0000, 0.5000], [0.1557, 0.5000, 0.7500], [0.8443, 0.5000, 0.2500], [0.2996, 0.2440, 0.0741], [0.7004, 0.2440, 0.5741], [0.7004, 0.7560, 0.9259], [0.2996, 0.7560, 0.4259]]
}



Least stable: arrangement one



Arrangement one

{
  "formula": "CuSb2TeW",
  "functional": "GGA-PBE",
  "state": "relaxed",
  "lattice_angstrom": [[-0.4129, 5.0644, 1.4426], [-5.0994, -0.7455, 1.1575], [1.2948, -1.2838, 4.8775]],
  "species": ["Te", "Sb", "Sb", "Cu", "W"],
  "frac_coords": [[0.0000, 0.0000, 0.5000], [0.5000, 0.0000, 0.0000], [0.0000, 0.5000, 0.0000], [0.5000, 0.5000, 0.5000], [0.0000, 0.0000, 0.0000]]
}



Arrangement two

{
  "formula": "CuSb2TeW",
  "functional": "GGA-PBE",
  "state": "relaxed",
  "lattice_angstrom": [[-0.5379, -1.3512, -4.7317], [3.4739, -3.4755, 0.5975], [-3.6060, -3.3685, 1.3718]],
  "species": ["Te", "W", "Sb", "Sb", "Cu"],
  "frac_coords": [[0.0000, 0.0000, 0.5000], [0.5000, 0.5000, 0.5000], [0.5000, 0.0000, 0.0000], [0.0000, 0.5000, 0.0000], [0.0000, 0.0000, 0.0000]]
}



Least stable: arrangement two



Arrangement one

{
  "formula": "CuSbTe2W",
  "functional": "GGA-PBE",
  "state": "relaxed",
  "lattice_angstrom": [[-3.4156, -0.8854, -3.6682], [0.9116, -4.9948, 0.3568], [-3.5280, -0.4023, 3.3822]],
  "species": ["Cu", "Te", "Te", "W", "Sb"],
  "frac_coords": [[0.0000, 0.0000, 0.0000], [0.0000, 0.5000, 0.0000], [0.5000, 0.0000, 0.0000], [0.5000, 0.5000, 0.5000], [0.0000, 0.0000, 0.5000]]
}



Arrangement two

{
  "formula": "CuSbTe2W",
  "functional": "GGA-PBE",
  "state": "relaxed",
  "lattice_angstrom": [[5.2568, 0.0000, 0.0000], [0.0000, 5.2568, 0.0000], [0.0000, 0.0000, 5.3297]],
  "species": ["Te", "Te", "Sb", "W", "Cu"],
  "frac_coords": [[0.5000, 0.0000, 0.0000], [0.0000, 0.5000, 0.0000], [0.0000, 0.0000, 0.5000], [0.0000, 0.0000, 0.0000], [0.5000, 0.5000, 0.5000]]
}



Least stable: arrangement one



Arrangement one

{
  "formula": "YCuSb2Te",
  "functional": "GGA-PBE",
  "state": "relaxed",
  "lattice_angstrom": [[5.0679, 0.0000, 0.0000], [0.0000, 5.0679, 0.0000], [0.0000, 0.0000, 5.3049]],
  "species": ["Te", "Sb", "Sb", "Cu", "Y"],
  "frac_coords": [[0.0000, 0.0000, 0.5000], [0.5000, 0.0000, 0.0000], [0.0000, 0.5000, 0.0000], [0.0000, 0.0000, 0.0000], [0.5000, 0.5000, 0.5000]]
}



Arrangement two

{
  "formula": "YCuSb2Te",
  "functional": "GGA-PBE",
  "state": "relaxed",
  "lattice_angstrom": [[5.7921, 0.0000, 0.0000], [0.0000, 5.7921, 0.0000], [0.0000, 0.0000, 5.7507]],
  "species": ["Cu", "Sb", "Sb", "Y", "Te"],
  "frac_coords": [[0.5000, 0.5000, 0.5000], [0.5000, 0.0000, 0.0000], [0.0000, 0.5000, 0.0000], [0.0000, 0.0000, 0.0000], [0.0000, 0.0000, 0.5000]]
}



Least stable: arrangement two